1.
Computed, not measured: crystalline TiV2Co2 at its relaxed geometry at the GGA-PBE level of DFT.

The space group is P4/mbm (No. 127) and the conventional cell measures 6.863, 6.863 and 2.749 Å, with angles of 90.00, 90.00 and 90.00 degrees. The inequivalent atoms are Ti at (0.000, 0.000, 0.000), V at (0.168, 0.332, 0.500) and Co at (0.130, 0.630, 0.000).

The total magnetization is 0.00 μB/f.u. As for the offset from the most stable computed form: 0.00 eV/f.u. The calculation puts the raw total energy at -8.16 eV per atom. The calculation puts the energy relative to the elements at -8.9 kJ per mole of atoms.

2.
Computed, not measured: crystalline Pm7Tl2C2 at its relaxed geometry at the GGA-PBE level of DFT.

The space group is C2/m (No. 12) and the conventional cell measures 11.335, 7.749 and 6.931 Å, with angles of 90.00, 96.47 and 90.00 degrees. The inequivalent atoms are Pm at (0.000, 0.000, 0.000), Pm at (0.059, 0.500, 0.799), Pm at (0.228, 0.278, 0.232), Tl at (0.000, 0.187, 0.500) and C at (0.235, 0.000, 0.023).

The total magnetization is 0.00 μB/f.u. The calculation puts the raw total energy at -5.20 eV per atom. The calculation puts the energy relative to the elements at -6.5 kJ per mole of atoms.

3.
Computed, not measured: crystalline CsNa2ZnCd at its relaxed geometry at the GGA-PBE level of DFT.

The space group is P4/mmm (No. 123) and the conventional cell measures 6.132, 6.132 and 5.205 Å, with angles of 90.00, 90.00 and 90.00 degrees. The inequivalent atoms are Cs at (0.000, 0.000, 0.000), Na at (0.000, 0.500, 0.500), Zn at (0.500, 0.500, 0.000) and Cd at (0.500, 0.500, 0.500).

The total magnetization is 0.00 μB/f.u. As for the offset from the most stable computed form: 0.08 eV/f.u. The calculation puts the raw total energy at -1.06 eV per atom. The calculation puts the energy relative to the elements at 7.0 kJ per mole of atoms.

4.
Computed, not measured: crystalline UPaCrTc at its relaxed geometry at the GGA-PBE level of DFT.

The space group is F-43m (No. 216) and the conventional cell measures 6.754, 6.754 and 6.754 Å, with angles of 90.00, 90.00 and 90.00 degrees. The inequivalent atoms are U at (0.000, 0.000, 0.000), Pa at (0.000, 0.000, 0.500), Cr at (0.250, 0.250, 0.250) and Tc at (0.250, 0.250, 0.750).

The total magnetization is 0.84 μB/f.u. The calculation puts the raw total energy at -9.96 eV per atom. The calculation puts the energy relative to the elements at 23.0 kJ per mole of atoms.